1.
This record from Alexandria describes crystalline ThMgRuAu at its relaxed geometry. The functional is PBE.

Unit cell a=6.947 b=6.947 c=6.947 alpha=90.00 beta=90.00 gamma=90.00
Space group F-43m (No. 216)
Inequivalent atoms, fractional coordinates:
Th 0.000 0.000 0.000 [4 per cell]
Mg 0.000 0.000 0.500 [4 per cell]
Ru 0.250 0.250 0.250 [4 per cell]
Au 0.250 0.250 0.750 [4 per cell]

- formation energy (meV per atom) = -334
- DFT total energy (eV per cell) = -91.6



2.
This record from Alexandria describes crystalline ScCd2Ir at its relaxed geometry. The functional is PBE.

Unit cell a=4.016 b=4.016 c=4.671 alpha=90.00 beta=90.00 gamma=90.00
Space group P4/mmm (No. 123)
Inequivalent atoms, fractional coordinates:
Sc 0.000 0.000 0.000 [1 per cell]
Cd 0.000 0.500 0.500 [2 per cell]
Ir 0.500 0.500 0.000 [1 per cell]

- formation energy (meV per atom) = -276
- DFT total energy (eV per cell) = -18.1



Q: Which formula does entry 1 have?
A: ThMgRuAu